Entry 1:
The following is a PBE-GGA calculation of KZrSb2 after structural relaxation, from Alexandria.

## Properties
Uncorrected formation energy: -0.0907 eV per atom

Cell: 5.3472 5.3472 5.3472 Å, 60.00 60.00 60.00°
With the nearest neighbours (Å) after each atom.
Positions (direct):
1 Sb 0.2500 0.2500 0.2500  4 Zr 3.27, 4 K 3.27
2 Sb 0.7500 0.7500 0.7500  4 Zr 3.27, 4 K 3.27
3 K 0.0000 0.0000 0.0000  8 Sb 3.27
4 Zr 0.5000 0.5000 0.5000  8 Sb 3.27



Entry 2:
The following is a PBE-GGA calculation of ScPaSb3 after structural relaxation, from Alexandria.

## Properties
Uncorrected formation energy: -0.5439 eV per atom

Cell: 6.4157 6.2912 13.0650 Å, 90.00 90.00 90.00°
With the nearest neighbours (Å) after each atom.
Positions (direct):
1 Sc 0.5000 0.2500 0.0901  6 Sb 2.85-3.10
2 Sc 0.0000 0.7500 0.9099  6 Sb 2.85-3.10
3 Sc 0.5000 0.7500 0.9099  6 Sb 2.85-3.10
4 Sc 0.0000 0.2500 0.0901  6 Sb 2.85-3.10
5 Pa 0.7500 0.4953 0.6802  9 Sb 3.13-3.31
6 Pa 0.2500 0.5047 0.3198  9 Sb 3.13-3.31
7 Pa 0.7500 0.9953 0.3198  9 Sb 3.13-3.31
8 Pa 0.2500 0.0047 0.6802  9 Sb 3.13-3.31
9 Sb 0.0000 0.2500 0.4989  4 Sb 3.15-3.21, 4 Pa 3.25-3.26
10 Sb 0.5000 0.7500 0.5011  4 Sb 3.15-3.21, 4 Pa 3.25-3.26
11 Sb 0.0000 0.7500 0.5011  4 Sb 3.15-3.21, 4 Pa 3.25-3.26
12 Sb 0.5000 0.2500 0.4989  4 Sb 3.15-3.21, 4 Pa 3.25-3.26
13 Sb 0.2500 0.1239 0.9130  4 Sc 2.85-2.93, 1 Pa 3.13
14 Sb 0.7500 0.8761 0.0870  4 Sc 2.85-2.93, 1 Pa 3.13
15 Sb 0.2500 0.6239 0.0870  4 Sc 2.85-2.93, 1 Pa 3.13
16 Sb 0.7500 0.3761 0.9130  4 Sc 2.85-2.93, 1 Pa 3.13
17 Sb 0.2500 0.5119 0.7422  2 Sc 3.10, 4 Pa 3.20-3.31, 1 Sb 3.31
18 Sb 0.7500 0.4881 0.2578  2 Sc 3.10, 4 Pa 3.20-3.31, 1 Sb 3.31
19 Sb 0.2500 0.0119 0.2578  2 Sc 3.10, 4 Pa 3.20-3.31, 1 Sb 3.31
20 Sb 0.7500 0.9881 0.7422  2 Sc 3.10, 4 Pa 3.20-3.31, 1 Sb 3.31



Entry 3:
The following is a PBE-GGA calculation of Pm2DyRh2 after structural relaxation, from Alexandria.

## Properties
Energy relative to the elements: -14.6 kcal/mol of atoms

Cell: 4.1373 6.0088 6.0088 Å, 64.11 69.86 69.86°
With the nearest neighbours (Å) after each atom.
Positions (direct):
1 Pm 0.1944 0.3056 0.3056  6 Rh 3.08-3.37
2 Pm 0.8056 0.6944 0.6944  6 Rh 3.08-3.37
3 Dy 0.0000 0.0000 0.0000  4 Rh 2.75
4 Rh 0.5000 0.2834 0.7166  2 Dy 2.75, 1 Rh 2.76, 4 Pm 3.08
5 Rh 0.5000 0.7166 0.2834  2 Dy 2.75, 1 Rh 2.76, 4 Pm 3.08



What did the first record say?
The following is a PBE-GGA calculation of KZrSb2 after structural relaxation, from Alexandria.

## Properties
Uncorrected formation energy: -0.0907 eV per atom

Cell: 5.3472 5.3472 5.3472 Å, 60.00 60.00 60.00°
With the nearest neighbours (Å) after each atom.
Positions (direct):
1 Sb 0.2500 0.2500 0.2500  4 Zr 3.27, 4 K 3.27
2 Sb 0.7500 0.7500 0.7500  4 Zr 3.27, 4 K 3.27
3 K 0.0000 0.0000 0.0000  8 Sb 3.27
4 Zr 0.5000 0.5000 0.5000  8 Sb 3.27